(1)
Material: Y5Al2H
Method: DFT, PBE
State: optimized geometry

POSCAR file:
```
Y5Al2H
1.0
-3.440 3.440 4.356
3.440 -3.440 4.356
3.440 3.440 -4.356
Y Al H
5 2 1
Direct
0.000 0.000 0.000
0.497 0.497 0.503
0.497 0.993 0.000
0.993 0.497 0.000
0.993 0.993 0.497
0.497 0.997 0.500
0.997 0.497 0.500
0.254 0.254 0.000
```

Properties
Space-group type ... I4mm, No. 107
DFT total energy ... -5.51 eV per atom
Density ... 4.0 g cm⁻³

(2)
Material: ErBe3Pd10
Method: DFT, PBE
State: optimized geometry

POSCAR file:
```
ErBe3Pd10
1.0
0.000 5.926 5.926
5.926 0.000 5.926
5.926 5.926 0.000
Er Be Pd
2 6 20
Direct
0.250 0.250 0.250
0.750 0.750 0.750
0.228 0.228 0.772
0.228 0.772 0.228
0.228 0.772 0.772
0.772 0.228 0.228
0.772 0.228 0.772
0.772 0.772 0.228
0.118 0.118 0.118
0.118 0.118 0.647
0.118 0.647 0.118
0.163 0.500 0.500
0.163 0.500 0.837
0.163 0.837 0.500
0.353 0.882 0.882
0.500 0.163 0.500
0.500 0.163 0.837
0.500 0.500 0.163
0.500 0.500 0.837
0.500 0.837 0.163
0.500 0.837 0.500
0.647 0.118 0.118
0.837 0.163 0.500
0.837 0.500 0.163
0.837 0.500 0.500
0.882 0.353 0.882
0.882 0.882 0.353
0.882 0.882 0.882
```

Properties
Space-group type ... Fm-3m, No. 225
Energy of formation ... -0.512 eV per atom
Density ... 10.0 g cm⁻³

(3)
Material: Ti3Co2Ir
Method: DFT, PBE
State: optimized geometry

POSCAR file:
```
Ti3Co2Ir
1.0
2.959 0.000 0.000
0.000 2.959 0.000
0.000 0.000 9.429
Ti Co Ir
3 2 1
Direct
0.000 0.000 0.000
0.000 0.000 0.318
0.000 0.000 0.682
0.500 0.500 0.161
0.500 0.500 0.839
0.500 0.500 0.500
```

Properties
Space-group type ... P4/mmm, No. 123
Energy above the most stable polymorph in this dataset ... 23 meV per atom
Energy of formation ... -0.538 eV per atom
Density ... 9.1 g cm⁻³

(4)
Material: RbTcSe2
Method: DFT, PBE
State: optimized geometry

POSCAR file:
```
RbTcSe2
1.0
1.900 1.097 9.298
-1.900 1.097 9.298
0.000 -2.194 9.298
Rb Tc Se
1 1 2
Direct
0.000 0.000 0.000
0.500 0.500 0.500
0.117 0.117 0.117
0.883 0.883 0.883
```

Properties
Space-group type ... R-3m, No. 166
Formation energy from raw total energies ... -0.208 eV/atom
Energy above the most stable polymorph in this dataset ... 227 meV per atom
Density ... 4.9 g cm⁻³